VASP calculation (PBE) on a relaxed structure of ScFeTcSb.

Symmetry ... F-43m (216)
Raw total energy ... -7.19 eV/atom

Lattice parameters (Å, degrees): 4.581 4.581 4.581 60.00 60.00 60.00
Positions (direct):
Fe 0.750 0.750 0.750
Sb 0.000 0.000 0.000
Tc 0.500 0.500 0.500
Sc 0.250 0.250 0.250

=====

VASP calculation (PBE) on a relaxed structure of Nd2AlGaPd4.

Symmetry ... P-3m1 (164)
Raw total energy ... -5.49 eV/atom

Lattice parameters (Å, degrees): 4.435 4.435 9.498 90.00 90.00 120.00
Positions (direct):
Pd 0.667 0.333 0.428
Pd 0.333 0.667 0.926
Ga 0.000 0.000 0.000
Al 0.000 0.000 0.500
Pd 0.667 0.333 0.074
Pd 0.333 0.667 0.572
Nd 0.667 0.333 0.751
Nd 0.333 0.667 0.249

=====

VASP calculation (PBE) on a relaxed structure of PmPrZn.

Symmetry ... F-43m (216)
DFT formation energy ... 0.027 eV per atom

Lattice parameters (Å, degrees): 5.095 5.095 5.095 60.00 60.00 60.00
Each line ends with the local moment (μB).
Positions (direct):
Zn 0.000 0.000 0.000  0.01
Pr 0.750 0.750 0.750  0.05
Pm 0.250 0.250 0.250  0.06

=====

VASP calculation (PBE) on a relaxed structure of PrLuAlTe3.

Symmetry ... Cmcm (63)
Raw total energy ... -4.64 eV/atom

Lattice parameters (Å, degrees): 7.956 7.956 10.495 90.00 90.00 149.59
Positions (direct):
Te 0.147 0.853 0.539
Te 0.385 0.615 0.750
Te 0.853 0.147 0.039
Pr 0.719 0.281 0.750
Te 0.147 0.853 0.961
Al 0.976 0.024 0.250
Te 0.853 0.147 0.461
Lu 0.500 0.500 0.500
Al 0.024 0.976 0.750
Pr 0.281 0.719 0.250
Te 0.615 0.385 0.250
Lu 0.500 0.500 0.000